TlCrSnF6: relaxed, PBE with a Hubbard U.

M_tot: 2.997 μB/f.u.
mass density: 5.16 g/cm³
VASP energy: -46.631 eV per cell
calculated volume: 157 Å³ per cell

Unit cell a=5.2958 b=5.8151 c=5.8185 alpha=61.49 beta=89.70 gamma=89.44
Last column: nearest neighbours and their distance in Å.
Space group P1 (No. 1)
Symmetry-distinct sites (fractional):
1 Tl 0.0000 0.0000 0.0000  3 F 2.68-2.77
2 Cr 0.4203 0.3511 0.3262  6 F 1.90-2.01
3 Sn 0.5088 0.6429 0.6593  3 F 2.24-2.32
4 F 0.1966 0.4877 0.5146  1 Cr 2.01, 1 Sn 2.24
5 F 0.2239 0.5034 0.9971  1 Cr 1.98
6 F 0.2494 0.0108 0.4674  1 Cr 1.97
7 F 0.5797 0.6883 0.2109  1 Cr 1.94
8 F 0.6138 0.2255 0.6456  1 Cr 1.94
9 F 0.6577 0.2473 0.1454  1 Cr 1.90